1.
Here is Tb5BiPt2 after structural relaxation from Alexandria. Energies are from PBEsol.

SG ... I4/mcm
Formation energy from the elements ... -0.91 eV/atom
Total magnetization ... 0.0 μB per formula unit
Fermi-level density of states ... 0.89 states/eV per atom

a b c (Å): 7.7677 8.6914 7.7677
angles (deg): 116.54 90.00 116.54
Closest atoms and distances in Å follow each position.
Positions (direct):
1 Tb 0.2068 0.7273 0.0205  3 Pt 2.92-2.93
2 Tb 0.2932 0.2727 0.7932  3 Pt 2.92-2.93
3 Tb 0.9795 0.2727 0.4795  3 Pt 2.92-2.93
4 Tb 0.7068 0.7273 0.2068  3 Pt 2.92-2.93
5 Tb 0.0000 0.0000 0.0000  4 Pt 3.01, 2 Bi 3.37
6 Tb 0.0205 0.7273 0.5205  3 Pt 2.92-2.93
7 Tb 0.4795 0.2727 0.2932  3 Pt 2.92-2.93
8 Tb 0.5205 0.7273 0.7068  3 Pt 2.92-2.93
9 Tb 0.5000 0.0000 0.5000  4 Pt 3.01, 2 Bi 3.37
10 Tb 0.7932 0.2727 0.9795  3 Pt 2.92-2.93
11 Pt 0.8630 0.0000 0.6370  8 Tb 2.92-3.01, 1 Pt 3.01
12 Pt 0.6370 0.0000 0.1370  8 Tb 2.92-3.01, 1 Pt 3.01
13 Pt 0.1370 0.0000 0.3630  8 Tb 2.92-3.01, 1 Pt 3.01
14 Pt 0.3630 0.0000 0.8630  8 Tb 2.92-3.01, 1 Pt 3.01
15 Bi 0.7500 0.5000 0.7500  10 Tb 3.31-3.37
16 Bi 0.2500 0.5000 0.2500  10 Tb 3.31-3.37

2.
Here is TbBiPt after structural relaxation from Alexandria. Energies are from PBEsol.

SG ... F-43m
Formation energy from the elements ... -1.05 eV/atom
Total magnetization ... 0.0 μB per formula unit
Fermi-level density of states ... 0.03 states/eV per atom

a b c (Å): 4.7056 4.7056 4.7056
angles (deg): 60.00 60.00 60.00
Closest atoms and distances in Å follow each position.
Positions (direct):
1 Bi 0.2500 0.2500 0.2500  4 Pt 2.88
2 Pt 0.0000 0.0000 0.0000  4 Bi 2.88, 4 Tb 2.88
3 Tb 0.7500 0.7500 0.7500  4 Pt 2.88

3.
Here is TiTcBi2Pt after structural relaxation from Alexandria. Energies are from PBEsol.

SG ... P4/mmm
Formation energy from the elements ... 1.26 eV/atom
Total magnetization ... 2.1 μB per formula unit
Fermi-level density of states ... 1.50 states/eV per atom

a b c (Å): 4.7389 5.2963 5.2963
angles (deg): 90.00 90.00 90.00
Closest atoms and distances in Å follow each position.
Positions (direct):
1 Bi 0.0000 0.0000 0.5000  2 Pt 2.65
2 Bi 0.0000 0.5000 0.0000  2 Pt 2.65
3 Pt 0.0000 0.0000 0.0000  2 Tc 2.37, 4 Bi 2.65
4 Ti 0.5000 0.5000 0.5000  8 Bi 3.55, 4 Tc 3.75
5 Tc 0.5000 0.0000 0.0000  2 Pt 2.37

4.
Here is Bi2TePt2 after structural relaxation from Alexandria. Energies are from PBEsol.

SG ... I4/mmm
Total magnetization ... 0.0 μB per formula unit
Raw total energy ... -5.338 eV/atom
Fermi-level density of states ... 0.54 states/eV per atom

a b c (Å): 3.8802 3.8802 8.5315
angles (deg): 103.14 103.14 90.00
Closest atoms and distances in Å follow each position.
Positions (direct):
1 Pt 0.7500 0.2500 0.5000  4 Pt 2.74, 4 Bi 2.81
2 Pt 0.2500 0.7500 0.5000  4 Pt 2.74, 4 Bi 2.81
3 Te 0.0000 0.0000 0.0000  8 Bi 3.40
4 Bi 0.3757 0.3757 0.7514  4 Pt 2.81
5 Bi 0.6243 0.6243 0.2486  4 Pt 2.81

5.
Here is Ti2BiPt2 after structural relaxation from Alexandria. Energies are from PBEsol.

SG ... I4/mmm
Formation energy from the elements ... -0.54 eV/atom
Total magnetization ... 0.0 μB per formula unit
Fermi-level density of states ... 0.72 states/eV per atom

a b c (Å): 4.2872 4.2872 6.1076
angles (deg): 110.55 110.55 90.00
Closest atoms and distances in Å follow each position.
Positions (direct):
1 Pt 0.6241 0.6241 0.2483  4 Ti 2.53, 1 Pt 2.63
2 Pt 0.3759 0.3759 0.7517  4 Ti 2.53, 1 Pt 2.63
3 Ti 0.7500 0.2500 0.5000  4 Pt 2.53
4 Ti 0.2500 0.7500 0.5000  4 Pt 2.53
5 Bi 0.0000 0.0000 0.0000  8 Pt 3.30, 8 Ti 3.41

6.
Here is TmBiPt after structural relaxation from Alexandria. Energies are from PBEsol.

SG ... F-43m
Formation energy from the elements ... -1.04 eV/atom
Total magnetization ... 0.0 μB per formula unit
Fermi-level density of states ... 0.05 states/eV per atom

a b c (Å): 4.6639 4.6639 4.6639
angles (deg): 60.00 60.00 60.00
Closest atoms and distances in Å follow each position.
Positions (direct):
1 Pt 0.0000 0.0000 0.0000  4 Bi 2.86, 4 Tm 2.86
2 Tm 0.2500 0.2500 0.2500  4 Pt 2.86
3 Bi 0.7500 0.7500 0.7500  4 Pt 2.86

7.
Here is Bi3PtW after structural relaxation from Alexandria. Energies are from PBEsol.

SG ... Pm-3m
Formation energy from the elements ... 1.09 eV/atom
Total magnetization ... 0.0 μB per formula unit
Fermi-level density of states ... 0.38 states/eV per atom

a b c (Å): 5.2286 5.2286 5.2286
angles (deg): 90.00 90.00 90.00
Closest atoms and distances in Å follow each position.
Positions (direct):
1 Bi 0.0000 0.5000 0.0000  2 W 2.61
2 Bi 0.5000 0.0000 0.0000  2 W 2.61
3 Bi 0.0000 0.0000 0.5000  2 W 2.61
4 W 0.0000 0.0000 0.0000  6 Bi 2.61
5 Pt 0.5000 0.5000 0.5000  12 Bi 3.70

8.
Here is Y5BiPt2 after structural relaxation from Alexandria. Energies are from PBEsol.

SG ... I4/mcm
Formation energy from the elements ... -0.94 eV/atom
Total magnetization ... 0.0 μB per formula unit
Fermi-level density of states ... 0.92 states/eV per atom

a b c (Å): 7.7286 8.7026 7.7286
angles (deg): 63.64 90.00 116.36
Closest atoms and distances in Å follow each position.
Positions (direct):
1 Y 0.5000 0.0000 0.5000  4 Pt 3.00
2 Y 0.7936 0.2735 0.0201  3 Pt 2.92-2.94
3 Y 0.5201 0.7265 0.2936  3 Pt 2.92-2.94
4 Y 0.9799 0.2735 0.5201  3 Pt 2.92-2.94
5 Y 0.7064 0.7265 0.7936  3 Pt 2.92-2.94
6 Y 0.4799 0.2735 0.7064  3 Pt 2.92-2.94
7 Y 0.0000 0.0000 0.0000  4 Pt 3.00
8 Y 0.2064 0.7265 0.9799  3 Pt 2.92-2.94
9 Y 0.0201 0.7265 0.4799  3 Pt 2.92-2.94
10 Y 0.2936 0.2735 0.2064  3 Pt 2.92-2.94
11 Bi 0.2500 0.5000 0.7500  10 Y 3.30-3.39
12 Bi 0.7500 0.5000 0.2500  10 Y 3.30-3.39
13 Pt 0.6372 0.0000 0.8628  8 Y 2.92-3.00, 1 Pt 3.00
14 Pt 0.8628 0.0000 0.3628  8 Y 2.92-3.00, 1 Pt 3.00
15 Pt 0.1372 0.0000 0.6372  8 Y 2.92-3.00, 1 Pt 3.00
16 Pt 0.3628 0.0000 0.1372  8 Y 2.92-3.00, 1 Pt 3.00

What did the second record say?
Here is TbBiPt after structural relaxation from Alexandria. Energies are from PBEsol.

SG ... F-43m
Formation energy from the elements ... -1.05 eV/atom
Total magnetization ... 0.0 μB per formula unit
Fermi-level density of states ... 0.03 states/eV per atom

a b c (Å): 4.7056 4.7056 4.7056
angles (deg): 60.00 60.00 60.00
Closest atoms and distances in Å follow each position.
Positions (direct):
1 Bi 0.2500 0.2500 0.2500  4 Pt 2.88
2 Pt 0.0000 0.0000 0.0000  4 Bi 2.88, 4 Tb 2.88
3 Tb 0.7500 0.7500 0.7500  4 Pt 2.88

Question: Number 7 is which compound?
Answer: Bi3PtW

Question: The highest Fermi-level density of states belongs to which entry?
Answer: TiTcBi2Pt

Question: Which value of Fermi-level density of states does entry 1 give?
Answer: 0.89 states/eV per atom